Record 1
The following is a DFT calculation (PBE) of Dy8Te4AuS3 after structural relaxation.

Cell: 8.2670 8.4488 8.2672 Å, 119.29 120.00 90.00°
Fractional coordinates of all 16 atoms:
S1 0.5000 0.5000 0.0000
S2 0.0000 0.5000 0.5000
S3 0.5000 0.5000 0.5000
Dy1 0.7320 0.7148 0.9734
Dy2 0.2654 0.2963 0.5309
Dy3 0.2414 0.7148 0.9734
Dy4 0.2414 0.7148 0.4829
Dy5 0.2680 0.2852 0.0266
Dy6 0.7586 0.2852 0.0266
Dy7 0.7586 0.2852 0.5171
Dy8 0.7346 0.7037 0.4691
Te1 0.0000 0.0000 0.0000
Te2 0.5000 0.0000 0.5000
Te3 0.0000 0.0000 0.5000
Te4 0.5000 0.0000 0.0000
Au1 0.0000 0.5000 0.0000

Properties
D(E_F)   6.9 states/eV/f.u.
SG   R-3m
Total magnetization   0.0 μB per cell
Crystal system   trigonal

Record 2
The following is a DFT calculation (PBE) of Dy4TeAuS2 after structural relaxation.

Cell: 3.9555 7.3560 6.9811 Å, 72.45 90.00 90.00°
Fractional coordinates of all 8 atoms:
Dy1 0.5000 0.7726 0.2509
Dy2 0.0000 0.2163 0.2713
Dy3 0.0000 0.7837 0.7287
Dy4 0.5000 0.2274 0.7491
Te1 0.5000 0.5000 0.0000
Au1 0.0000 0.5000 0.5000
S1 0.5000 0.0000 0.5000
S2 0.0000 0.0000 0.0000

Properties
D(E_F)   3.9 states/eV/f.u.
SG   P2/m
Total magnetization   0.0 μB per cell
Crystal system   monoclinic

Record 3
The following is a DFT calculation (PBE) of Dy4Te2AuS after structural relaxation.

Cell: 4.0925 7.3829 7.4161 Å, 108.31 90.00 90.00°
Fractional coordinates of all 8 atoms:
Dy1 0.0000 0.7412 0.2217
Dy2 0.5000 0.2316 0.2172
Dy3 0.5000 0.7684 0.7828
Dy4 0.0000 0.2588 0.7783
Te1 0.5000 0.0000 0.5000
Te2 0.0000 0.5000 0.5000
S1 0.0000 0.0000 0.0000
Au1 0.5000 0.5000 0.0000

Properties
D(E_F)   5.1 states/eV/f.u.
SG   P2/m
Total magnetization   0.0 μB per cell
Crystal system   monoclinic

Record 4
The following is a DFT calculation (PBE) of Dy4SbAu after structural relaxation.

Cell: 7.2226 7.2349 7.2100 Å, 90.00 90.41 90.00°
Fractional coordinates of all 12 atoms:
Dy1 0.3323 0.3364 0.3560
Dy2 0.6449 0.1462 0.8374
Dy3 0.8551 0.6462 0.1626
Dy4 0.3551 0.8538 0.1626
Dy5 0.6677 0.6636 0.6440
Dy6 0.1449 0.3538 0.8374
Dy7 0.1677 0.8364 0.6440
Dy8 0.8323 0.1636 0.3560
Au1 0.0000 0.5000 0.5000
Au2 0.5000 0.0000 0.5000
Sb1 0.5000 0.5000 0.0000
Sb2 0.0000 0.0000 0.0000

Properties
D(E_F)   6.8 states/eV/f.u.
SG   P2_1/c
Total magnetization   0.0 μB per cell
Crystal system   monoclinic

Record 5
The following is a DFT calculation (PBE) of Dy2SbAu after structural relaxation.

Cell: 3.7965 3.7965 6.9893 Å, 90.00 90.00 90.00°
Fractional coordinates of all 4 atoms:
Dy1 0.0000 0.0000 0.7461
Dy2 0.0000 0.0000 0.2539
Sb1 0.5000 0.5000 0.0000
Au1 0.5000 0.5000 0.5000

Properties
D(E_F)   2.8 states/eV/f.u.
SG   P4/mmm
Total magnetization   0.0 μB per cell
Crystal system   tetragonal

Record 6
The following is a DFT calculation (PBE) of Dy8Sb2Au after structural relaxation.

Cell: 4.8335 7.0647 9.7219 Å, 99.32 104.39 90.00°
Fractional coordinates of all 11 atoms:
Dy1 0.7844 0.6543 0.5688
Dy2 0.5943 0.4961 0.1886
Dy3 0.9901 0.2326 0.9803
Dy4 0.2156 0.3457 0.4312
Dy5 0.3458 0.9733 0.6915
Dy6 0.0099 0.7674 0.0197
Dy7 0.4057 0.5039 0.8114
Dy8 0.6542 0.0267 0.3085
Sb1 0.8189 0.2292 0.6378
Sb2 0.1811 0.7708 0.3622
Au1 0.5000 0.0000 0.0000

Properties
D(E_F)   11.6 states/eV/f.u.
SG   C2/m
Total magnetization   0.0 μB per cell
Crystal system   monoclinic

Record 7
The following is a DFT calculation (PBE) of Dy5SbAu2 after structural relaxation.

Cell: 10.1245 10.1245 10.1245 Å, 137.22 137.22 62.09°
Fractional coordinates of all 16 atoms:
Dy1 0.9991 0.4991 0.8302
Dy2 0.3311 0.8311 0.8302
Dy3 0.0000 0.0000 0.0000
Dy4 0.6689 0.1689 0.1698
Dy5 0.5009 0.3311 0.5000
Dy6 0.0009 0.5009 0.1698
Dy7 0.1689 0.9991 0.5000
Dy8 0.8311 0.0009 0.5000
Dy9 0.4991 0.6689 0.5000
Dy10 0.5000 0.5000 0.0000
Au1 0.8722 0.3722 0.2443
Au2 0.6278 0.8722 0.5000
Au3 0.1278 0.6278 0.7557
Au4 0.3722 0.1278 0.5000
Sb1 0.7500 0.7500 0.0000
Sb2 0.2500 0.2500 0.0000

Properties
D(E_F)   9.7 states/eV/f.u.
SG   I4/mcm
Total magnetization   0.0 μB per cell
Crystal system   tetragonal
Offset from the most stable computed form   0.350 eV per atom

Record 8
The following is a DFT calculation (PBE) of Dy8SbAu2 after structural relaxation.

Cell: 5.0684 7.0336 9.3967 Å, 103.68 105.65 90.00°
Fractional coordinates of all 11 atoms:
Dy1 0.0323 0.7592 0.0645
Dy2 0.4089 0.5443 0.8178
Dy3 0.3293 0.0288 0.6587
Dy4 0.7966 0.6679 0.5932
Dy5 0.2034 0.3321 0.4068
Dy6 0.6707 0.9712 0.3413
Dy7 0.5911 0.4557 0.1822
Dy8 0.9677 0.2408 0.9355
Sb1 0.5000 0.0000 0.0000
Au1 0.8107 0.2717 0.6214
Au2 0.1893 0.7283 0.3786

Properties
D(E_F)   9.1 states/eV/f.u.
SG   C2/m
Total magnetization   0.0 μB per cell
Crystal system   monoclinic

Summary of energy relative to the elements, uncorrected in eV per atom
-1.500 -1.491 -1.346 -0.455 -0.821 -0.491 -0.409 -0.487
(order as listed above)